DFT (PBE) results for a geometry-optimized MnReAu2S structure.

Geometry as extended XYZ:
```
5
Lattice="5.2022 0.0000 0.0000 0.0000 5.2022 0.0000 0.0000 0.0000 4.3135" Properties=species:S:1:pos:R:3 pbc="T T T"
Mn 0.0000 0.0000 0.0000
Re 2.6011 2.6011 2.1568
Au 0.0000 2.6011 2.1568
Au 2.6011 0.0000 2.1568
S 2.6011 2.6011 0.0000
```

Values from the calculation:
density of states at the Fermi level = 3.32 states/eV per cell
size of the total moment = 4.90 μB per cell
formation energy from raw total energies = 0.82 eV per atom